Entry 1:
Here is a geometry-optimized LiTeSeN2 structure from Alexandria. Energies are from PBE-GGA.

Calculated values
E_form (uncorrected), eV/atom: 1.7844
Crystal system: tetragonal
Energy relative to the lowest polymorph listed for this composition, meV per atom: 799
Size of the total moment, μB/f.u.: 0.0

a = 3.940 Å, b = 3.940 Å, c = 5.042 Å
α = 90.00°, β = 90.00°, γ = 90.00°
Space group P4/mmm (No. 123)
Inequivalent atoms, fractional coordinates:
Li (0.000, 0.000, 0.000)
Te (0.000, 0.000, 0.500)
Se (0.500, 0.500, 0.500)
N (0.000, 0.500, 0.000)

***

Entry 2:
Here is a geometry-optimized NpTiB structure from Alexandria. Energies are from PBE-GGA.

Calculated values
Crystal system: monoclinic
Size of the total moment, μB/f.u.: 0.0
Raw total energy, eV for the cell shown: -111.08

a = 6.585 Å, b = 3.793 Å, c = 6.755 Å
α = 90.00°, β = 90.04°, γ = 90.00°
Space group C2/m (No. 12)
Inequivalent atoms, fractional coordinates:
Np (0.167, 0.000, 0.089)
Ti (0.166, 0.000, 0.600)
B (0.001, 0.500, 0.364)

***

Entry 3:
Here is a geometry-optimized La2CrMo structure from Alexandria. Energies are from PBE-GGA.

Calculated values
Crystal system: trigonal
Energy relative to the lowest polymorph listed for this composition, meV per atom: 442
Size of the total moment, μB/f.u.: 3.9

a = 3.4970 Å, b = 3.4970 Å, c = 28.1115 Å
α = 90.00°, β = 90.00°, γ = 120.00°
Space group R-3m (No. 166, hexagonal axes)
Inequivalent atoms, fractional coordinates:
La (0.0000, 0.0000, 0.2449)
Cr (0.0000, 0.0000, 0.0000)
Mo (0.0000, 0.0000, 0.5000)